Material: Tm3TcC3
Method: DFT, PBE-GGA
State: relaxed

Output
Its space-group type is No. 63. The value obtained for the magnetic moment is 0.001 μB per formula unit. The calculation puts the formation energy at -0.40 eV/atom. The value obtained for the uncorrected energy is -0.28476 Ha/atom.

Lattice parameters (Å, degrees): 5.036 6.708 6.709 100.07 90.00 90.00
Atoms (fractional coordinates):
Tm1 0.750 0.597 0.834
Tm2 0.750 0.108 0.892
Tm3 0.750 0.166 0.403
Tm4 0.250 0.403 0.166
Tm5 0.250 0.892 0.108
Tm6 0.250 0.834 0.597
Tc1 0.250 0.311 0.689
Tc2 0.750 0.689 0.311
C1 0.250 0.589 0.832
C2 0.250 0.123 0.877
C3 0.250 0.168 0.411
C4 0.750 0.411 0.168
C5 0.750 0.877 0.123
C6 0.750 0.832 0.589